VASP calculation (PBE) on an optimized crystal structure of PmSn2Ge2Pd7.

abc: 4.050 4.050 14.176
angles: 81.59 81.59 89.95
Fractional positions:
Pm 0.000 0.000 0.000
Sn 0.814 0.814 0.365
Sn 0.186 0.186 0.635
Ge 0.636 0.636 0.734
Ge 0.364 0.364 0.266
Pd 0.500 0.500 0.000
Pd 0.277 0.277 0.443
Pd 0.723 0.723 0.557
Pd 0.918 0.418 0.159
Pd 0.418 0.918 0.159
Pd 0.582 0.082 0.841
Pd 0.082 0.582 0.841

Output
The formation energy from the elements is -0.439 eV/atom. The total magnetic moment comes out at 0.00 μB per formula unit. For the uncorrected energy, the calculation gives -5.301 eV/atom. The value obtained for the density of states at the Fermi level is 4.4 states/eV/f.u.

---

VASP calculation (PBE) on an optimized crystal structure of Pm2SnGePd6.

abc: 6.705 6.516 6.509
angles: 50.22 85.53 105.73
Fractional positions:
Pm 0.752 0.252 0.501
Pm 0.248 0.748 0.499
Sn 0.500 0.500 0.000
Ge 0.000 0.000 0.000
Pd 0.297 0.303 0.511
Pd 0.932 0.753 0.824
Pd 0.298 0.809 0.005
Pd 0.702 0.191 0.995
Pd 0.068 0.247 0.176
Pd 0.703 0.697 0.489

Output
The formation energy from the elements is -0.667 eV/atom. The total magnetic moment comes out at 0.00 μB per formula unit. For the uncorrected energy, the calculation gives -5.595 eV/atom. The value obtained for the density of states at the Fermi level is 4.6 states/eV/f.u.

---

VASP calculation (PBE) on an optimized crystal structure of Pm2SnGe3Pd4.

abc: 4.354 4.354 10.551
angles: 90.00 90.00 90.00
Fractional positions:
Pm 0.500 0.000 0.237
Pm 0.000 0.500 0.763
Sn 0.500 0.500 0.500
Ge 0.000 0.000 0.500
Ge 0.500 0.000 0.876
Ge 0.000 0.500 0.124
Pd 0.500 0.500 0.000
Pd 0.000 0.000 0.000
Pd 0.500 0.000 0.644
Pd 0.000 0.500 0.356

Output
The formation energy from the elements is -0.794 eV/atom. The total magnetic moment comes out at 0.00 μB per formula unit. For the uncorrected energy, the calculation gives -5.607 eV/atom. The value obtained for the density of states at the Fermi level is 4.8 states/eV/f.u.

---

VASP calculation (PBE) on an optimized crystal structure of SrPmGe2Pd2.

abc: 4.473 4.473 7.925
angles: 90.00 90.00 120.00
Fractional positions:
Sr 0.000 0.000 0.000
Pm 0.000 0.000 0.500
Ge 0.333 0.667 0.279
Ge 0.667 0.333 0.721
Pd 0.333 0.667 0.718
Pd 0.667 0.333 0.282

Output
The formation energy from the elements is -0.795 eV/atom. The total magnetic moment comes out at 0.00 μB per formula unit. For the uncorrected energy, the calculation gives -5.138 eV/atom. The value obtained for the density of states at the Fermi level is 4.7 states/eV/f.u.

---

VASP calculation (PBE) on an optimized crystal structure of Sr2PmGe3Pd4.

abc: 4.455 4.455 11.109
angles: 90.00 90.00 90.00
Fractional positions:
Sr 0.500 0.000 0.226
Sr 0.000 0.500 0.774
Pm 0.500 0.500 0.500
Ge 0.000 0.000 0.500
Ge 0.500 0.000 0.887
Ge 0.000 0.500 0.113
Pd 0.500 0.500 0.000
Pd 0.000 0.000 0.000
Pd 0.500 0.000 0.662
Pd 0.000 0.500 0.338

Output
The formation energy from the elements is -0.736 eV/atom. The total magnetic moment comes out at 0.00 μB per formula unit. For the uncorrected energy, the calculation gives -5.010 eV/atom. The value obtained for the density of states at the Fermi level is 4.4 states/eV/f.u.

---

VASP calculation (PBE) on an optimized crystal structure of SrPmGe2Pd5.

abc: 4.409 4.409 8.942
angles: 90.00 90.00 90.00
Fractional positions:
Sr 0.000 0.000 0.500
Pm 0.000 0.000 0.000
Ge 0.500 0.500 0.141
Ge 0.500 0.500 0.859
Pd 0.000 0.500 0.265
Pd 0.500 0.000 0.265
Pd 0.000 0.500 0.735
Pd 0.500 0.000 0.735
Pd 0.500 0.500 0.500

Output
The formation energy from the elements is -0.678 eV/atom. The total magnetic moment comes out at 0.00 μB per formula unit. For the uncorrected energy, the calculation gives -5.304 eV/atom. The value obtained for the density of states at the Fermi level is 3.9 states/eV/f.u.

---

VASP calculation (PBE) on an optimized crystal structure of SrPmGePd.

abc: 5.227 5.227 5.227
angles: 60.00 60.00 60.00
Fractional positions:
Sr 0.500 0.500 0.500
Ge 0.250 0.250 0.250
Pd 0.750 0.750 0.750
Pm 0.000 0.000 0.000

Output
The formation energy from the elements is -0.596 eV/atom. The total magnetic moment comes out at 0.00 μB per formula unit. For the uncorrected energy, the calculation gives -4.657 eV/atom. The value obtained for the density of states at the Fermi level is 2.8 states/eV/f.u.

---

VASP calculation (PBE) on an optimized crystal structure of Pm2TaGe4Pd3.

abc: 4.251 4.251 10.842
angles: 90.00 90.00 90.00
Fractional positions:
Pm 0.500 0.000 0.239
Pm 0.000 0.500 0.761
Ta 0.500 0.500 0.500
Ge 0.500 0.500 0.000
Ge 0.000 0.000 0.000
Ge 0.500 0.000 0.642
Ge 0.000 0.500 0.358
Pd 0.000 0.000 0.500
Pd 0.500 0.000 0.871
Pd 0.000 0.500 0.129

Output
The formation energy from the elements is -0.693 eV/atom. The total magnetic moment comes out at 0.00 μB per formula unit. For the uncorrected energy, the calculation gives -6.233 eV/atom. The value obtained for the density of states at the Fermi level is 5.0 states/eV/f.u.

---

VASP calculation (PBE) on an optimized crystal structure of PmTcGe2Pd.

abc: 4.251 4.251 6.023
angles: 110.67 110.67 90.00
Fractional positions:
Pm 0.000 0.000 0.000
Tc 0.750 0.250 0.500
Ge 0.625 0.625 0.249
Ge 0.375 0.375 0.751
Pd 0.250 0.750 0.500

Output
The formation energy from the elements is -0.637 eV/atom. The total magnetic moment comes out at 0.00 μB per formula unit. For the uncorrected energy, the calculation gives -6.546 eV/atom. The value obtained for the density of states at the Fermi level is 2.5 states/eV/f.u.

---

VASP calculation (PBE) on an optimized crystal structure of Pm8Ge3Te4Pd.

abc: 8.684 8.830 8.685
angles: 119.46 120.00 90.00
Fractional positions:
Pm 0.243 0.724 0.981
Pm 0.243 0.724 0.486
Pm 0.258 0.274 0.516
Pm 0.737 0.724 0.981
Pm 0.263 0.276 0.019
Pm 0.742 0.726 0.484
Pm 0.757 0.276 0.514
Pm 0.757 0.276 0.019
Ge 0.500 0.500 0.000
Ge 0.500 0.500 0.500
Ge 0.000 0.500 0.500
Te 0.500 0.000 0.000
Te 0.500 0.000 0.500
Te 0.000 0.000 0.000
Te 0.000 0.000 0.500
Pd 0.000 0.500 0.000

Output
The total magnetic moment comes out at 0.00 μB per formula unit. For the energy relative to the elements, uncorrected, the calculation gives -1.163 eV/atom. For the uncorrected energy, the calculation gives -5.514 eV/atom. The value obtained for the density of states at the Fermi level is 7.9 states/eV/f.u.

---

VASP calculation (PBE) on an optimized crystal structure of Pm2TiGe4Pd3.

abc: 4.219 4.219 10.919
angles: 90.00 90.00 90.00
Fractional positions:
Pm 0.500 0.000 0.243
Pm 0.000 0.500 0.757
Ti 0.500 0.500 0.500
Ge 0.500 0.500 0.000
Ge 0.000 0.000 0.000
Ge 0.500 0.000 0.640
Ge 0.000 0.500 0.360
Pd 0.000 0.000 0.500
Pd 0.500 0.000 0.869
Pd 0.000 0.500 0.131

Output
The formation energy from the elements is -0.784 eV/atom. The total magnetic moment comes out at 0.00 μB per formula unit. For the uncorrected energy, the calculation gives -5.929 eV/atom. The value obtained for the density of states at the Fermi level is 4.2 states/eV/f.u.

---

VASP calculation (PBE) on an optimized crystal structure of PmTlGePd.

abc: 5.007 5.007 5.007
angles: 60.00 60.00 60.00
Fractional positions:
Tl 0.500 0.500 0.500
Ge 0.250 0.250 0.250
Pd 0.750 0.750 0.750
Pm 0.000 0.000 0.000

Output
The formation energy from the elements is -0.410 eV/atom. The total magnetic moment comes out at 0.00 μB per formula unit. For the uncorrected energy, the calculation gives -4.642 eV/atom. The value obtained for the density of states at the Fermi level is 1.0 states/eV/f.u.

---

VASP calculation (PBE) on an optimized crystal structure of PmTmGe2Pd5.

abc: 4.257 4.257 9.104
angles: 90.00 90.00 90.00
Fractional positions:
Pm 0.000 0.000 0.500
Tm 0.000 0.000 0.000
Ge 0.500 0.500 0.133
Ge 0.500 0.500 0.867
Pd 0.000 0.500 0.271
Pd 0.500 0.000 0.271
Pd 0.000 0.500 0.729
Pd 0.500 0.000 0.729
Pd 0.500 0.500 0.500

Output
The formation energy from the elements is -0.790 eV/atom. The total magnetic moment comes out at 0.00 μB per formula unit. For the uncorrected energy, the calculation gives -5.726 eV/atom. The value obtained for the density of states at the Fermi level is 2.6 states/eV/f.u.

---

VASP calculation (PBE) on an optimized crystal structure of Pm2TmGe3Pd4.

abc: 4.264 4.264 11.233
angles: 90.00 90.00 90.00
Fractional positions:
Pm 0.500 0.000 0.221
Pm 0.000 0.500 0.779
Tm 0.500 0.500 0.500
Ge 0.000 0.000 0.500
Ge 0.500 0.000 0.876
Ge 0.000 0.500 0.124
Pd 0.500 0.500 0.000
Pd 0.000 0.000 0.000
Pd 0.500 0.000 0.655
Pd 0.000 0.500 0.345

Output
The formation energy from the elements is -0.850 eV/atom. The total magnetic moment comes out at 0.00 μB per formula unit. For the uncorrected energy, the calculation gives -5.710 eV/atom. The value obtained for the density of states at the Fermi level is 7.9 states/eV/f.u.

---

VASP calculation (PBE) on an optimized crystal structure of Pm2TmGe4Pd3.

abc: 4.265 4.265 11.389
angles: 90.00 90.00 90.00
Fractional positions:
Pm 0.500 0.000 0.231
Pm 0.000 0.500 0.769
Tm 0.500 0.500 0.500
Ge 0.500 0.500 0.000
Ge 0.000 0.000 0.000
Ge 0.500 0.000 0.662
Ge 0.000 0.500 0.338
Pd 0.000 0.000 0.500
Pd 0.500 0.000 0.879
Pd 0.000 0.500 0.121

Output
The formation energy from the elements is -0.803 eV/atom. The total magnetic moment comes out at 0.00 μB per formula unit. For the uncorrected energy, the calculation gives -5.605 eV/atom. The value obtained for the density of states at the Fermi level is 3.7 states/eV/f.u.

---

VASP calculation (PBE) on an optimized crystal structure of PmVGePd.

abc: 4.808 4.808 4.808
angles: 60.00 60.00 60.00
Last column: magnetic moment on the atom in μB.
Fractional positions:
Ge 0.750 0.750 0.750  -0.10
V 0.000 0.000 0.000  2.26
Pd 0.250 0.250 0.250  0.04
Pm 0.500 0.500 0.500  0.03

Output
The formation energy from the elements is -0.275 eV/atom. The total magnetic moment comes out at 2.61 μB per formula unit. For the uncorrected energy, the calculation gives -6.195 eV/atom. The value obtained for the density of states at the Fermi level is 3.9 states/eV/f.u.

---

VASP calculation (PBE) on an optimized crystal structure of PmYGePd.

abc: 5.087 5.087 5.087
angles: 60.00 60.00 60.00
Fractional positions:
Y 0.500 0.500 0.500
Ge 0.250 0.250 0.250
Pd 0.750 0.750 0.750
Pm 0.000 0.000 0.000

Output
The energy relative to the lowest polymorph listed for this composition comes out at 0.091 eV per atom. The formation energy from the elements is -0.776 eV/atom. The total magnetic moment comes out at 0.00 μB per formula unit. For the uncorrected energy, the calculation gives -6.032 eV/atom. The value obtained for the density of states at the Fermi level is 1.9 states/eV/f.u.

---

VASP calculation (PBE) on an optimized crystal structure of PmYGePd.

abc: 3.988 4.318 5.906
angles: 90.00 109.73 90.00
Fractional positions:
Pm 0.859 0.500 0.718
Y 0.136 0.000 0.272
Ge 0.583 0.500 0.166
Pd 0.422 0.000 0.844

Output
The energy relative to the lowest polymorph listed for this composition comes out at 0.000 eV per atom. The formation energy from the elements is -0.867 eV/atom. The total magnetic moment comes out at 0.00 μB per formula unit. For the uncorrected energy, the calculation gives -6.124 eV/atom. The value obtained for the density of states at the Fermi level is 1.3 states/eV/f.u.

---

VASP calculation (PBE) on an optimized crystal structure of PmYGe2Pd2.

abc: 4.448 4.448 7.240
angles: 90.00 90.00 120.00
Fractional positions:
Pm 0.000 0.000 0.500
Y 0.000 0.000 0.000
Ge 0.333 0.667 0.240
Ge 0.667 0.333 0.760
Pd 0.333 0.667 0.779
Pd 0.667 0.333 0.221

Output
The formation energy from the elements is -0.926 eV/atom. The total magnetic moment comes out at 0.00 μB per formula unit. For the uncorrected energy, the calculation gives -6.065 eV/atom. The value obtained for the density of states at the Fermi level is 4.5 states/eV/f.u.

---

VASP calculation (PBE) on an optimized crystal structure of Pm2Zn3Ge4Pd.

abc: 4.259 4.259 10.619
angles: 90.00 90.00 90.00
Fractional positions:
Pm 0.500 0.000 0.258
Pm 0.000 0.500 0.742
Zn 0.000 0.000 0.500
Zn 0.500 0.000 0.863
Zn 0.000 0.500 0.137
Ge 0.500 0.500 0.000
Ge 0.000 0.000 0.000
Ge 0.500 0.000 0.635
Ge 0.000 0.500 0.365
Pd 0.500 0.500 0.500

Output
The formation energy from the elements is -0.513 eV/atom. The total magnetic moment comes out at 0.00 μB per formula unit. For the uncorrected energy, the calculation gives -4.212 eV/atom. The value obtained for the density of states at the Fermi level is 1.2 states/eV/f.u.